No. 1
ZrSc3Zn, optimized geometry, DFT PBE-GGA; magnetic moment = 0.0 Bohr magnetons per cell; E_tot = -4.946 eV per atom; formation energy = 0.82 eV per atom
1.0
5.148 0.000 0.000
0.000 5.148 0.000
0.000 0.000 5.148
Zr Sc Zn
1 3 1
Cartesian
0.000 0.000 0.000 Zr
0.000 0.000 2.574 Sc
0.000 2.574 0.000 Sc
2.574 0.000 0.000 Sc
2.574 2.574 2.574 Zn

---

No. 2
BeTlSe2, optimized geometry, DFT PBE-GGA; uncorrected formation energy = -0.12 eV per atom; magnetic moment = 0.0 Bohr magnetons per cell; E_tot = -3.387 eV per atom
1.0
1.793 -4.696 0.000
1.793 4.696 0.000
0.000 0.000 7.659
Be Tl Se
1 1 2
Cartesian
0.000 0.000 0.000 Be
0.000 0.000 3.830 Tl
1.793 0.000 1.443 Se
1.793 0.000 6.216 Se

---

No. 3
Na5B7C3, optimized geometry, DFT PBE-GGA; magnetic moment = 0.0 Bohr magnetons per cell; E_tot = -5.263 eV per atom; formation energy = 0.14 eV per atom
1.0
4.935 0.000 0.000
2.125 7.326 0.000
2.404 1.459 8.613
Na B C
10 14 6
Cartesian
0.000 0.000 0.000 Na
2.265 4.393 4.307 Na
2.380 1.471 4.325 Na
4.678 5.858 8.599 Na
4.777 2.939 8.602 Na
4.684 5.862 4.337 Na
4.780 2.923 4.276 Na
4.687 5.846 0.012 Na
4.786 2.928 0.014 Na
7.084 7.314 4.288 Na
3.750 7.275 6.473 B
3.059 5.758 2.164 B
3.934 4.400 6.455 B
3.825 7.421 2.150 B
3.062 3.003 2.150 B
5.532 7.276 6.469 B
3.923 1.648 6.453 B
5.541 7.138 2.160 B
3.932 1.509 2.144 B
6.402 5.783 6.464 B
5.639 1.364 6.463 B
5.530 4.385 2.158 B
6.405 3.027 6.449 B
5.714 1.511 2.141 B
1.431 3.019 2.144 C
3.109 2.968 6.445 C
3.888 4.411 2.164 C
5.576 4.374 6.450 C
6.355 5.817 2.168 C
8.033 5.767 6.470 C

---

No. 4
HfH2Pb, optimized geometry, DFT PBE-GGA; magnetic moment = 0.0 Bohr magnetons per cell; E_tot = -4.458 eV per atom
1.0
0.000 3.014 3.014
3.014 0.000 3.014
3.014 3.014 0.000
Hf H Pb
1 2 1
Cartesian
0.000 0.000 0.000 Hf
1.507 1.507 1.507 H
4.521 4.521 4.521 H
3.014 3.014 3.014 Pb

---

No. 5
CsMoBr3, optimized geometry, DFT PBE-GGA; uncorrected formation energy = -0.73 eV per atom; magnetic moment = 1.0 Bohr magnetons per cell; E_tot = -4.068 eV per atom
1.0
8.918 -2.018 0.000
8.918 2.018 0.000
-2.077 0.000 9.170
Cs Mo Br
2 2 6
Cartesian
0.960 0.000 3.450 Cs
14.799 0.000 5.720 Cs
4.888 0.000 1.030 Mo
10.871 0.000 8.140 Mo
0.560 0.000 9.073 Br
2.943 0.000 6.569 Br
6.919 0.000 2.863 Br
8.840 0.000 6.307 Br
12.817 0.000 2.601 Br
15.199 0.000 0.097 Br

---

No. 6
Y2CdGe2, optimized geometry, DFT PBE-GGA; magnetic moment = 0.0 Bohr magnetons per cell; E_tot = -4.880 eV per atom; formation energy = -0.26 eV per atom
1.0
-2.808 2.808 4.250
2.808 -2.808 4.250
2.808 2.808 -4.250
Y Cd Ge
2 1 2
Cartesian
2.808 0.000 2.125 Y
0.000 2.808 2.125 Y
0.000 0.000 0.000 Cd
0.000 0.000 2.896 Ge
0.000 0.000 5.605 Ge

---

No. 7
TmBS, optimized geometry, DFT PBE-GGA; uncorrected formation energy = -0.75 eV per atom; magnetic moment = 0.0 Bohr magnetons per cell; E_tot = -5.844 eV per atom
1.0
3.536 -3.936 0.000
3.536 3.936 0.000
0.000 0.000 7.211
Tm B S
4 4 4
Cartesian
1.768 0.950 1.803 Tm
1.768 -0.950 5.408 Tm
5.303 0.950 1.803 Tm
5.303 -0.950 5.408 Tm
3.536 3.308 3.098 B
3.536 0.627 6.704 B
3.536 -0.627 0.507 B
3.536 -3.308 4.112 B
3.536 2.380 0.131 S
3.536 1.555 3.736 S
3.536 -1.555 3.475 S
3.536 -2.380 7.080 S

---

No. 8
MnCdMo2, optimized geometry, DFT PBE-GGA; magnetic moment = 2.8 Bohr magnetons per cell; E_tot = -7.500 eV per atom; formation energy = 0.44 eV per atom
1.0
2.710 -4.431 0.000
2.710 4.431 0.000
0.000 0.000 2.675
Mn Cd Mo
1 1 2
Cartesian
0.000 0.000 0.000 Mn
2.710 0.000 0.000 Cd
1.355 2.215 1.337 Mo
1.355 -2.215 1.337 Mo

---

No. 9
LiHfCdIn, optimized geometry, DFT PBE-GGA; magnetic moment = 0.0 Bohr magnetons per cell; E_tot = -3.950 eV per atom; formation energy = -0.07 eV per atom
1.0
0.000 3.453 3.453
3.453 0.000 3.453
3.453 3.453 0.000
Li Hf Cd In
1 1 1 1
Cartesian
0.000 0.000 0.000 Li
3.453 3.453 3.453 Hf
5.180 5.180 5.180 Cd
1.727 1.727 1.727 In

---

No. 10
La2BiCl2, optimized geometry, DFT PBE-GGA; uncorrected formation energy = -1.60 eV per atom; magnetic moment = 1.0 Bohr magnetons per cell; E_tot = -5.081 eV per atom
1.0
-2.238 2.238 7.415
2.238 -2.238 7.415
2.238 2.238 -7.415
La Bi Cl
2 1 2
Cartesian
0.000 0.000 1.761 La
0.000 0.000 13.070 La
0.000 0.000 7.415 Bi
2.238 0.000 3.708 Cl
0.000 2.238 3.708 Cl

---

No. 11
KCuH2, optimized geometry, DFT PBE-GGA; magnetic moment = 0.0 Bohr magnetons per cell; E_tot = -2.231 eV per atom
1.0
0.000 3.074 3.074
3.074 0.000 3.074
3.074 3.074 0.000
K Cu H
1 1 2
Cartesian
0.000 0.000 0.000 K
3.074 3.074 3.074 Cu
1.537 1.537 1.537 H
4.610 4.610 4.610 H

---

No. 12
YMnNiSe2, optimized geometry, DFT PBE-GGA; uncorrected formation energy = -0.36 eV per atom; magnetic moment = 3.4 Bohr magnetons per cell; E_tot = -6.038 eV per atom
1.0
4.777 0.000 0.000
0.000 4.777 0.000
0.000 0.000 4.417
Y Mn Ni Se
1 1 1 2
Cartesian
0.000 0.000 0.000 Y
2.388 2.388 2.208 Mn
2.388 2.388 0.000 Ni
0.000 2.388 2.208 Se
2.388 0.000 2.208 Se